1.
VASP calculation (GGA-PBE) on crystalline AcNdDyS3 at its relaxed geometry.

- Crystal system: monoclinic
- Formation energy without anion corrections: -1.816 eV/atom
- Symmetry: P2_1/m, No. 11

Cell lengths 7.8502, 4.0670, 10.3376 Å; angles 90.00, 102.40, 90.00 degrees
With the nearest neighbours (Å) after each atom.
Atoms (fractional coordinates):
Ac1 0.1799 0.2500 0.2030  7 S 3.02-3.16
Ac2 0.8201 0.7500 0.7970  7 S 3.02-3.16
Nd1 0.1885 0.2500 0.6219  5 S 2.85-3.03
Nd2 0.8115 0.7500 0.3781  5 S 2.85-3.03
Dy1 0.3394 0.7500 0.9053  5 S 2.73-2.77
Dy2 0.6606 0.2500 0.0947  5 S 2.73-2.77
S1 0.1045 0.2500 0.8903  2 Dy 2.73, 1 Nd 2.99, 2 Ac 3.02
S2 0.1878 0.7500 0.4281  3 Nd 2.85-2.89, 2 Ac 3.08
S3 0.4687 0.7500 0.1766  3 Dy 2.77, 1 Nd 3.03, 2 Ac 3.10
S4 0.5313 0.2500 0.8234  3 Dy 2.77, 1 Nd 3.03, 2 Ac 3.10
S5 0.8122 0.2500 0.5719  3 Nd 2.85-2.89, 2 Ac 3.08
S6 0.8955 0.7500 0.1097  2 Dy 2.73, 1 Nd 2.99, 2 Ac 3.02


2.
VASP calculation (GGA-PBE) on crystalline Ac2NdDyS4 at its relaxed geometry.

- Crystal system: monoclinic
- Formation energy without anion corrections: -1.993 eV/atom
- Symmetry: P2/m, No. 10

Cell lengths 7.1206, 4.0762, 7.3329 Å; angles 90.00, 108.63, 90.00 degrees
With the nearest neighbours (Å) after each atom.
Atoms (fractional coordinates):
Ac1 0.0000 0.0000 0.0000  6 S 3.07
Ac2 0.5000 0.5000 0.0000  6 S 3.00-3.01
Nd1 0.0000 0.5000 0.5000  6 S 2.87-2.88
Dy1 0.5000 0.0000 0.5000  6 S 2.80
S1 0.2504 0.0000 0.7284  1 Dy 2.80, 2 Nd 2.87, 3 Ac 3.00-3.07
S2 0.2667 0.5000 0.2769  2 Dy 2.80, 1 Nd 2.88, 3 Ac 3.01-3.07
S3 0.7333 0.5000 0.7231  2 Dy 2.80, 1 Nd 2.88, 3 Ac 3.01-3.07
S4 0.7496 0.0000 0.2716  1 Dy 2.80, 2 Nd 2.87, 3 Ac 3.00-3.07


3.
VASP calculation (GGA-PBE) on crystalline AcNd2DyS4 at its relaxed geometry.

- Crystal system: monoclinic
- Formation energy without anion corrections: -1.983 eV/atom
- Symmetry: P2/m, No. 10

Cell lengths 7.0529, 4.0431, 7.1964 Å; angles 90.00, 108.84, 90.00 degrees
With the nearest neighbours (Å) after each atom.
Atoms (fractional coordinates):
Ac1 0.0000 0.0000 0.0000  6 S 2.96
Nd1 0.5000 0.0000 0.5000  6 S 2.84
Nd2 0.5000 0.5000 0.0000  6 S 2.97
Dy1 0.0000 0.5000 0.5000  6 S 2.82
S1 0.2425 0.0000 0.7331  2 Dy 2.82, 3 Nd 2.84-2.97, 1 Ac 2.96
S2 0.2539 0.5000 0.2665  1 Dy 2.82, 3 Nd 2.84-2.97, 2 Ac 2.96
S3 0.7461 0.5000 0.7335  1 Dy 2.82, 3 Nd 2.84-2.97, 2 Ac 2.96
S4 0.7575 0.0000 0.2669  2 Dy 2.82, 3 Nd 2.84-2.97, 1 Ac 2.96


4.
VASP calculation (GGA-PBE) on crystalline AcNdDy2S4 at its relaxed geometry.

- Crystal system: monoclinic
- Formation energy without anion corrections: -1.991 eV/atom
- Symmetry: P2/m, No. 10

Cell lengths 6.9172, 3.9717, 7.2109 Å; angles 90.00, 108.51, 90.00 degrees
With the nearest neighbours (Å) after each atom.
Atoms (fractional coordinates):
Ac1 0.0000 0.0000 0.0000  6 S 2.99
Nd1 0.5000 0.5000 0.0000  6 S 2.94-2.95
Dy1 0.0000 0.5000 0.5000  6 S 2.79-2.80
Dy2 0.5000 0.0000 0.5000  6 S 2.74-2.75
S1 0.2476 0.0000 0.7280  3 Dy 2.75-2.79, 2 Nd 2.94, 1 Ac 2.99
S2 0.2645 0.5000 0.2766  3 Dy 2.74-2.80, 1 Nd 2.95, 2 Ac 2.99
S3 0.7355 0.5000 0.7234  3 Dy 2.74-2.80, 1 Nd 2.95, 2 Ac 2.99
S4 0.7524 0.0000 0.2720  3 Dy 2.75-2.79, 2 Nd 2.94, 1 Ac 2.99


5.
VASP calculation (GGA-PBE) on crystalline AcNdDySc at its relaxed geometry.

- DFT formation energy: 113.3 meV per atom
- Crystal system: cubic
- Symmetry: F-43m, No. 216

Cell lengths 5.7565, 5.7565, 5.7565 Å; angles 60.00, 60.00, 60.00 degrees
With the nearest neighbours (Å) after each atom.
Atoms (fractional coordinates):
Ac1 0.0000 0.0000 0.0000  4 Dy 3.53, 4 Sc 3.53
Nd1 0.5000 0.5000 0.5000  4 Dy 3.53, 4 Sc 3.53
Dy1 0.7500 0.7500 0.7500  4 Nd 3.53, 4 Ac 3.53
Sc1 0.2500 0.2500 0.2500  4 Ac 3.53, 4 Nd 3.53


6.
VASP calculation (GGA-PBE) on crystalline AcNd2DySe6 at its relaxed geometry.

- Crystal system: trigonal
- Formation energy without anion corrections: -1.868 eV/atom
- Symmetry: R3, No. 146

Cell lengths 7.9356, 7.9356, 7.9356 Å; angles 56.59, 56.59, 56.59 degrees
With the nearest neighbours (Å) after each atom.
Atoms (fractional coordinates):
Ac1 0.0000 0.0000 0.0000  6 Se 3.06-3.17
Nd1 0.2878 0.2878 0.2878  6 Se 2.95-3.01
Nd2 0.7948 0.7948 0.7948  6 Se 2.92-3.02
Dy1 0.4897 0.4897 0.4897  6 Se 2.89-2.91
Se1 0.0931 0.6686 0.4162  1 Dy 2.91, 2 Nd 2.92-3.01, 1 Ac 3.06
Se2 0.2061 0.5892 0.8796  1 Dy 2.89, 2 Nd 2.95-3.02, 1 Ac 3.17
Se3 0.4162 0.0931 0.6686  1 Dy 2.91, 2 Nd 2.92-3.01, 1 Ac 3.06
Se4 0.5892 0.8796 0.2061  1 Dy 2.89, 2 Nd 2.95-3.02, 1 Ac 3.17
Se5 0.6686 0.4162 0.0931  1 Dy 2.91, 2 Nd 2.92-3.01, 1 Ac 3.06
Se6 0.8796 0.2061 0.5892  1 Dy 2.89, 2 Nd 2.95-3.02, 1 Ac 3.17


7.
VASP calculation (GGA-PBE) on crystalline Ac2Nd3DySe6 at its relaxed geometry.

- Crystal system: monoclinic
- Formation energy without anion corrections: -1.815 eV/atom
- Symmetry: C2/m, No. 12

Cell lengths 7.4406, 7.4406, 7.4113 Å; angles 99.69, 99.69, 120.14 degrees
With the nearest neighbours (Å) after each atom.
Atoms (fractional coordinates):
Ac1 0.1654 0.8346 0.0000  6 Se 3.09-3.11
Ac2 0.8346 0.1654 0.0000  6 Se 3.09-3.11
Nd1 0.0000 0.0000 0.5000  6 Se 2.98-3.10
Nd2 0.3258 0.6742 0.5000  6 Se 2.98-3.05
Nd3 0.6742 0.3258 0.5000  6 Se 2.98-3.05
Dy1 0.5000 0.5000 0.0000  6 Se 2.94-2.97
Se1 0.0994 0.4172 0.7485  1 Dy 2.94, 3 Nd 2.98-3.05, 2 Ac 3.09
Se2 0.2704 0.2704 0.2596  1 Dy 2.97, 3 Nd 3.01-3.10, 2 Ac 3.11
Se3 0.4172 0.0994 0.7485  1 Dy 2.94, 3 Nd 2.98-3.05, 2 Ac 3.09
Se4 0.5828 0.9006 0.2515  1 Dy 2.94, 3 Nd 2.98-3.05, 2 Ac 3.09
Se5 0.7296 0.7296 0.7404  1 Dy 2.97, 3 Nd 3.01-3.10, 2 Ac 3.11
Se6 0.9006 0.5828 0.2515  1 Dy 2.94, 3 Nd 2.98-3.05, 2 Ac 3.09


8.
VASP calculation (GGA-PBE) on crystalline Ac4NdDy3Se8 at its relaxed geometry.

- Crystal system: trigonal
- Formation energy without anion corrections: -1.806 eV/atom
- Symmetry: R-3m, No. 166

Cell lengths 8.7621, 8.7621, 8.7621 Å; angles 57.36, 57.36, 57.36 degrees
With the nearest neighbours (Å) after each atom.
Atoms (fractional coordinates):
Ac1 0.0000 0.0000 0.0000  6 Se 3.12
Ac2 0.0000 0.5000 0.5000  6 Se 3.18
Ac3 0.5000 0.0000 0.5000  6 Se 3.18
Ac4 0.5000 0.5000 0.0000  6 Se 3.18
Nd1 0.5000 0.5000 0.5000  6 Se 2.97
Dy1 0.0000 0.0000 0.5000  6 Se 2.90-2.91
Dy2 0.0000 0.5000 0.0000  6 Se 2.90-2.91
Dy3 0.5000 0.0000 0.0000  6 Se 2.90-2.91
Se1 0.2342 0.7447 0.7447  2 Dy 2.90, 1 Nd 2.97, 3 Ac 3.12-3.18
Se2 0.2397 0.2397 0.2397  3 Dy 2.91, 3 Ac 3.18
Se3 0.2553 0.2553 0.7658  2 Dy 2.90, 1 Nd 2.97, 3 Ac 3.12-3.18
Se4 0.2553 0.7658 0.2553  2 Dy 2.90, 1 Nd 2.97, 3 Ac 3.12-3.18
Se5 0.7447 0.2342 0.7447  2 Dy 2.90, 1 Nd 2.97, 3 Ac 3.12-3.18
Se6 0.7447 0.7447 0.2342  2 Dy 2.90, 1 Nd 2.97, 3 Ac 3.12-3.18
Se7 0.7603 0.7603 0.7603  3 Dy 2.91, 3 Ac 3.18
Se8 0.7658 0.2553 0.2553  2 Dy 2.90, 1 Nd 2.97, 3 Ac 3.12-3.18


Volume readings, ordered: 26.86; 25.21; 24.28; 23.48; 33.72; 32.55; 27.84; 27.92 Å³ per atom